Entry 1:
6
Lattice="5.222 0.000 0.000 2.611 4.523 0.000 2.611 1.508 4.264" Properties=species:S:1:pos:R:3 comment="Li4LuPd | the Alexandria database | PBE | relaxed" total_energy_ev_per_atom=-2.977 pbc="T T T"
Lu 2.611 1.508 1.066
Pd 0.000 0.000 0.000
Li 5.222 3.015 0.499
Li 5.222 1.476 2.676
Li 6.555 3.785 2.676
Li 3.889 3.785 2.676



Entry 2:
4
Lattice="-1.912 0.068 -3.016 0.858 -4.728 -0.650 -4.005 -1.073 2.515" Properties=species:S:1:pos:R:3 comment="LiLu2Pd | the Alexandria database | PBE | relaxed" de_polymorph_mev_per_atom=25.4 total_energy_ev_per_atom=-4.482 pbc="T T T"
Lu -2.002 -0.536 1.257
Lu 0.429 -2.364 -0.325
Pd -2.529 -2.866 -0.575
Li -0.956 0.034 -1.508



Entry 3:
4
Lattice="4.914 0.000 0.000 2.457 4.256 0.000 2.457 1.419 4.013" Properties=species:S:1:pos:R:3 comment="LiLu2Pd | the Alexandria database | PBE | relaxed" de_polymorph_mev_per_atom=0.0 total_energy_ev_per_atom=-4.507 pbc="T T T"
Lu 2.457 1.419 1.003
Lu 7.372 4.256 3.009
Pd 0.000 0.000 0.000
Li 4.914 2.837 2.006



For each record above, in turn, the calculated formation energy from the elements values are -0.0819 -0.4443 -0.4697 eV per atom.
For each record above, in turn, the calculated DOS(E_F) values are 4.87 3.37 2.20 states/eV/f.u..